Entry 1:
{"formula": "NaThAsAu", "functional": "PBE", "state": "optimized geometry", "lattice_angstrom": [[5.088, 0.000, 0.000], [2.544, 4.406, 0.000], [2.544, 1.469, 4.154]], "species": ["Na", "As", "Au", "Th"], "fractional_positions": [[0.250, 0.250, 0.250], [0.500, 0.500, 0.500], [0.000, 0.000, 0.000], [0.750, 0.750, 0.750]], "spacegroup": "F-43m", "dft_energy_ev_per_cell": -19.201, "delta_e_f_mev_per_atom": -633.7}

Entry 2:
{"formula": "CuMoBr2", "functional": "PBE", "state": "optimized geometry", "lattice_angstrom": [[-1.969, 2.670, 0.895], [0.844, -2.587, 2.098], [6.774, 4.181, 2.430]], "species": ["Br", "Br", "Cu", "Mo"], "fractional_positions": [[0.000, 0.000, 0.003], [0.000, 0.000, 0.497], [0.500, 0.500, 0.250], [0.500, 0.500, 0.750]], "raw_formation_energy_mev_per_atom": 598, "e_above_lowest_polymorph_mev_per_atom": 415, "spacegroup": "Cmmm", "dft_energy_ev_per_cell": -15.881}

Entry 3:
{"formula": "TbNdTlRh", "functional": "PBE", "state": "optimized geometry", "lattice_angstrom": [[-2.913, -1.687, 1.132], [1.962, -1.825, 2.331], [-1.176, 5.683, 5.440]], "species": ["Tb", "Nd", "Tl", "Rh"], "fractional_positions": [[0.500, 0.500, 0.361], [0.500, 0.500, 0.785], [0.000, 0.000, 0.082], [0.000, 0.000, 0.557]], "e_above_lowest_polymorph_mev_per_atom": 0, "spacegroup": "P4mm", "dft_energy_ev_per_cell": -21.333, "delta_e_f_mev_per_atom": -554.3}

Entry 4:
{"formula": "AcNd7Tm3", "functional": "PBE", "state": "optimized geometry", "lattice_angstrom": [[-5.735, 5.021, 4.210], [2.138, -2.875, 6.342], [3.302, 5.950, -2.599]], "species": ["Ac", "Nd", "Nd", "Nd", "Nd", "Nd", "Nd", "Nd", "Tm", "Tm", "Tm"], "fractional_positions": [[0.442, 0.333, 0.667], [0.103, 0.166, 0.834], [0.103, 0.166, 0.332], [0.124, 0.667, 0.333], [0.460, 0.833, 0.167], [0.460, 0.334, 0.167], [0.460, 0.833, 0.666], [0.103, 0.668, 0.834], [0.786, 0.502, 0.498], [0.786, 0.502, 0.004], [0.786, 0.996, 0.498]], "spacegroup": "P3m1", "dft_energy_ev_per_cell": -48.657, "delta_e_f_mev_per_atom": 203.7}